HfSb2F: relaxed, GGA-PBE.

Computed properties:
Its uncorrected formation energy is -509 meV/atom. The value obtained for the calculated total energy is -5.527 eV/atom. For the energy relative to the lowest polymorph listed for this composition, the calculation gives 0 meV per atom. The crystal system is cubic.

a b c (Å): 4.9326 4.9326 4.9326
angles (deg): 60.00 60.00 60.00
Fractional positions:
Sb 0.7500 0.7500 0.7500
Sb 0.2500 0.2500 0.2500
Hf 0.5000 0.5000 0.5000
F 0.0000 0.0000 0.0000